[1]
{
  "formula": "SmErGe4",
  "functional": "PBE",
  "state": "optimized geometry",
  "n_ef_per_ev_atom": 1.16,
  "mass_density_g_cm3": 7.908,
  "crystal_system": "cubic",
  "e_form_ev_per_atom": -0.313,
  "lattice": [[5.6525, 0.0000, 0.0000], [2.8262, 4.8952, 0.0000], [2.8262, 1.6317, 4.6152]],
  "species": ["Sm", "Ge", "Ge", "Ge", "Ge", "Er"],
  "fractional_positions": [[0.0000, 0.0000, 0.0000], [0.6241, 0.6241, 0.1277], [0.6241, 0.1277, 0.6241], [0.6241, 0.6241, 0.6241], [0.1277, 0.6241, 0.6241], [0.2500, 0.2500, 0.2500]]
}

=====

[2]
{
  "formula": "TlRe2Hg",
  "functional": "PBE",
  "state": "optimized geometry",
  "n_ef_per_ev_atom": 0.58,
  "mass_density_g_cm3": 16.079,
  "crystal_system": "orthorhombic",
  "e_form_ev_per_atom": 0.915,
  "lattice": [[6.4920, 0.0283, 0.0014], [4.0435, 5.0790, -0.0014], [-4.6660, -3.7949, 2.4441]],
  "species": ["Re", "Re", "Hg", "Tl"],
  "fractional_positions": [[0.9575, 0.9575, 0.0000], [0.7788, 0.2788, 0.5000], [0.2323, 0.7323, 0.5000], [0.5314, 0.5314, 0.0000]]
}

=====

[3]
{
  "formula": "CsLaNO2",
  "functional": "PBE",
  "state": "optimized geometry",
  "n_ef_per_ev_atom": 0.12,
  "mass_density_g_cm3": 5.668,
  "crystal_system": "tetragonal",
  "formation_energy_uncorrected_ev_per_atom": 0.11,
  "lattice": [[4.4193, 0.0000, 0.0000], [0.0000, 4.4193, 0.0000], [0.0000, 0.0000, 4.7672]],
  "species": ["Cs", "N", "O", "O", "La"],
  "fractional_positions": [[0.0000, 0.0000, 0.0000], [0.0000, 0.0000, 0.5000], [0.0000, 0.5000, 0.0000], [0.5000, 0.0000, 0.0000], [0.5000, 0.5000, 0.5000]]
}

=====

Question: Number 2 is which compound?
Answer: TlRe2Hg